NiMoBrCl2 | PBE | optimized geometry

Output
Raw formation energy: 0.322 eV per atom
Calculated total energy: -20.4 eV per formula unit

```
data_NiMoBrCl2
_chemical_formula_sum 'Ni1 Mo1 Br1 Cl2'
_cell_length_a 4.362
_cell_length_b 5.752
_cell_length_c 4.362
_cell_angle_alpha 90.00
_cell_angle_beta 90.00
_cell_angle_gamma 90.00
_symmetry_space_group_name_H-M 'P 1'
_symmetry_Int_Tables_number 1
loop_
_symmetry_equiv_pos_as_xyz
'x,y,z'
loop_
_atom_site_label
_atom_site_fract_x
_atom_site_fract_y
_atom_site_fract_z
Cl1 0.500 0.000 0.000
Mo1 0.000 0.500 0.000
Ni1 0.000 0.000 0.000
Br1 0.500 0.500 0.500
Cl2 0.000 0.000 0.500
```

=====

Ho2Mg2Pd3 | PBE | optimized geometry

Output
Calculated total energy: -33.0 eV per formula unit

```
data_Ho2Mg2Pd3
_chemical_formula_sum 'Ho2 Mg2 Pd3'
_cell_length_a 4.848
_cell_length_b 4.853
_cell_length_c 7.775
_cell_angle_alpha 89.98
_cell_angle_beta 108.26
_cell_angle_gamma 120.18
_symmetry_space_group_name_H-M 'P 1'
_symmetry_Int_Tables_number 1
loop_
_symmetry_equiv_pos_as_xyz
'x,y,z'
loop_
_atom_site_label
_atom_site_fract_x
_atom_site_fract_y
_atom_site_fract_z
Pd1 0.496 0.748 0.240
Ho1 0.228 0.614 0.844
Pd2 0.504 0.252 0.760
Mg1 0.263 0.131 0.392
Ho2 0.772 0.386 0.156
Pd3 0.000 0.000 0.000
Mg2 0.737 0.869 0.608
```

=====

> What is the formula in the first record?

NiMoBrCl2